This record from Alexandria via LeMat-Bulk describes a relaxed structure of CaPPt2. The functional is GGA-PBE.

Values from the calculation:
- DFT formation energy: -0.25 eV/atom
- Energy relative to the lowest polymorph listed for this composition: 547 meV/atom

Geometry as CIF:
```
data_CaPPt2
_chemical_formula_sum 'Ca4 P4 Pt8'
_symmetry_space_group_name_H-M 'F -4 3 m'
_symmetry_Int_Tables_number 216
_symmetry_space_group_name_Hall 'F -4 2 3'
_cell_length_a 6.570
_cell_length_b 6.570
_cell_length_c 6.570
_cell_angle_alpha 90.00
_cell_angle_beta 90.00
_cell_angle_gamma 90.00
loop_
_atom_site_label
_atom_site_type_symbol
_atom_site_fract_x
_atom_site_fract_y
_atom_site_fract_z
_atom_site_occupancy
Ca1 Ca 0.000 0.000 0.000 1
P1 P 0.250 0.250 0.750 1
Pt1 Pt 0.000 0.000 0.500 1
Pt2 Pt 0.250 0.250 0.250 1
```